A | MgAsP2: optimized geometry, PBE.

Properties
- space group = Immm (71)
- total magnetization (Bohr magnetons per cell) = 0.00
- calculated volume (A^3/atom) = 17.25

a b c (Å): 5.370 5.370 5.370
angles (deg): 142.70 131.96 62.35
Fractional positions:
As 0.750 0.250 0.500
Mg 0.250 0.750 0.500
P 0.964 0.964 0.000
P 0.536 0.536 0.000



B | MgAsP2: optimized geometry, PBE.

Properties
- space group = P4mm (99)
- total magnetization (Bohr magnetons per cell) = 0.00
- calculated volume (A^3/atom) = 19.41

a b c (Å): 3.516 3.516 6.280
angles (deg): 90.00 90.00 90.00
Fractional positions:
As 0.000 0.000 0.538
Mg 0.500 0.500 0.691
P 0.000 0.000 0.170
P 0.500 0.500 0.100



Quick one: most stable of them? B



A | MgAsP2: optimized geometry, PBE.

Properties
- space group = Pmm2 (25)
- total magnetization (Bohr magnetons per cell) = 0.00
- calculated volume (A^3/atom) = 19.65

a b c (Å): 3.704 3.501 6.063
angles (deg): 90.00 90.00 90.00
Fractional positions:
As 0.000 0.000 0.316
Mg 0.500 0.500 0.841
P 0.000 0.000 0.936
P 0.500 0.500 0.407



B | MgAsP2: optimized geometry, PBE.

Properties
- space group = I-42d (122)
- total magnetization (Bohr magnetons per cell) = 0.00
- calculated volume (A^3/atom) = 24.00

a b c (Å): 5.746 5.746 7.094
angles (deg): 66.11 66.11 90.00
Fractional positions:
P 0.644 0.125 0.250
P 0.106 0.625 0.250
P 0.375 0.356 0.750
P 0.875 0.894 0.750
As 0.000 0.000 0.000
As 0.750 0.250 0.500
Mg 0.500 0.500 0.000
Mg 0.250 0.750 0.500



Quick one: most stable of them? A